[1]
BePt (GGA-PBE, relaxed); uncorrected energy = -0.1963 hartree per atom; total magnetic moment = 0.000 μB/cell; ΔH_f (0 K) = -0.459 eV/atom; symmetry = R-3m
1.0
5.050 -0.011 -0.007
3.819 3.304 -0.007
3.819 1.418 2.985
Be Pt
2 2
direct
0.691 0.691 0.691
0.309 0.309 0.309
0.098 0.098 0.098
0.902 0.902 0.902

***

[2]
Zn2Cu3Au6 (GGA-PBE, relaxed); uncorrected energy = -0.1185 hartree per atom; ΔE to the lowest computed polymorph = 0 meV/atom; total magnetic moment = 0.000 μB/cell; ΔH_f (0 K) = -0.088 eV/atom; symmetry = P-1
1.0
-3.648 2.701 -1.899
2.892 -0.749 -3.642
-6.487 -5.830 1.537
Au Cu Zn
6 3 2
direct
0.293 0.138 0.465
0.099 0.392 0.817
0.901 0.608 0.183
0.707 0.862 0.535
0.474 0.851 0.107
0.526 0.149 0.893
0.157 0.742 0.632
0.843 0.258 0.368
0.000 0.000 0.000
0.658 0.540 0.730
0.342 0.460 0.270